(1)
Compound: Rb2CuSnRu
Source: the Alexandria database
Functional: PBE-GGA
Structure: relaxed

The structure belongs to space group P4/mmm (No. 123); the cell edges are 6.3520, 6.3520 and 5.0986 Å and the angles 90.00°, 90.00° and 90.00°. The asymmetric unit holds Rb at (0.0000, 0.5000, 0.0000), Cu at (0.0000, 0.0000, 0.5000), Sn at (0.5000, 0.5000, 0.5000) and Ru at (0.5000, 0.5000, 0.0000).

Its crystal system is tetragonal. The energy relative to the elements comes out at 847 meV/atom.

***

(2)
Compound: PmSm2Al2Ag2
Source: the Alexandria database
Functional: PBE-GGA
Structure: relaxed

The structure belongs to space group R-3m (No. 166, hexagonal axes); the cell edges are 4.7049, 4.7049 and 27.2403 Å and the angles 90.00°, 90.00° and 120.00°. The asymmetric unit holds Pm at (0.0000, 0.0000, 0.0000), Sm at (0.0000, 0.0000, 0.1270), Al at (0.0000, 0.0000, 0.2613) and Ag at (0.0000, 0.0000, 0.3995).

Its crystal system is trigonal. The energy relative to the elements comes out at -286 meV/atom.

***

(3)
Compound: PaSnBi2O8
Source: the Alexandria database
Functional: PBE-GGA
Structure: relaxed

The structure belongs to space group Cmmm (No. 65); the cell edges are 7.2003, 7.3196 and 7.0339 Å and the angles 90.00°, 90.00° and 90.00°. The asymmetric unit holds Pa at (0.0000, 0.0000, 0.0000), Sn at (0.0000, 0.0000, 0.5000), Bi at (0.0000, 0.5000, 0.2588), O at (0.0000, 0.1800, 0.2560), O at (0.2012, 0.5000, 0.0000) and O at (0.2133, 0.5000, 0.5000).

Its crystal system is orthorhombic. Its formation energy (no corrections) is -1902 meV per atom.